{
  "formula": "AcLaSi2",
  "functional": "PBE-GGA",
  "state": "relaxed",
  "total_magnetization_mub_per_atom": 0.00,
  "dos_at_fermi_per_ev_cell": 4.2,
  "dft_energy_ev_per_cell": -21.3,
  "relative_energy_mev_per_atom": 292,
  "lattice": [[5.042, 0.000, 0.000], [2.521, 4.366, 0.000], [2.521, 1.455, 5.219]],
  "species": ["Si", "Si", "Ac", "La"],
  "frac_coords": [[0.742, 0.742, 0.773], [0.258, 0.258, 0.227], [0.500, 0.500, 0.500], [0.000, 0.000, 0.000]]
}

***

{
  "formula": "Tl2FeAu",
  "functional": "PBE-GGA",
  "state": "relaxed",
  "delta_e_f_ev_per_atom": 0.335,
  "total_magnetization_mub_per_atom": 0.69,
  "dos_at_fermi_per_ev_cell": 3.3,
  "dft_energy_ev_per_cell": -15.1,
  "relative_energy_mev_per_atom": 51,
  "lattice": [[-3.708, -1.422, 1.070], [1.664, -2.404, 2.573], [0.457, 2.708, 5.184]],
  "species": ["Fe", "Tl", "Tl", "Au"],
  "frac_coords": [[0.500, 0.542, 0.792], [0.000, 0.980, 0.916], [0.500, 0.285, 0.302], [0.000, 0.692, 0.490]]
}

***

{
  "formula": "Sm2DyTm",
  "functional": "PBE-GGA",
  "state": "relaxed",
  "delta_e_f_ev_per_atom": 0.123,
  "total_magnetization_mub_per_atom": 0.00,
  "dos_at_fermi_per_ev_cell": 8.1,
  "dft_energy_ev_per_cell": -18.0,
  "relative_energy_mev_per_atom": 106,
  "lattice": [[-0.917, -2.787, 4.876], [3.865, -3.703, 1.930], [3.083, 1.252, 4.616]],
  "species": ["Tm", "Sm", "Sm", "Dy"],
  "frac_coords": [[0.500, 0.500, 0.500], [0.750, 0.750, 0.750], [0.250, 0.250, 0.250], [0.000, 0.000, 0.000]]
}